Entry 1:
First-principles (GGA-PBE) data for a geometry-optimized TcAgSe2 structure, as listed in Alexandria via LeMat-Bulk.

## Properties
- Calculated total energy: -5.022 eV/atom
- Uncorrected formation energy: 0.02 eV/atom

Cell and atoms, written as extended XYZ:
```
8
Lattice="-4.008 4.008 2.850 4.008 -4.008 2.850 4.008 4.008 -2.850" Properties=species:S:1:pos:R:3 pbc="T T T"
Tc 4.008 0.000 1.425
Tc 0.000 4.008 1.425
Ag 0.000 0.000 1.425
Ag 0.000 0.000 4.275
Se 5.356 1.348 0.000
Se 1.348 2.660 0.000
Se 2.660 1.348 2.850
Se -1.348 2.660 2.850
```

Entry 2:
First-principles (GGA-PBE) data for a geometry-optimized TcAg2Se structure, as listed in Alexandria via LeMat-Bulk.

## Properties
- Calculated total energy: -4.301 eV/atom
- Uncorrected formation energy: 0.59 eV/atom

Cell and atoms, written as extended XYZ:
```
4
Lattice="0.000 3.251 3.251 3.251 0.000 3.251 3.251 3.251 0.000" Properties=species:S:1:pos:R:3 pbc="T T T"
Tc 0.000 0.000 0.000
Ag 3.251 3.251 3.251
Ag 4.876 4.876 4.876
Se 1.625 1.625 1.625
```

Entry 3:
First-principles (GGA-PBE) data for a geometry-optimized TcAg2Se structure, as listed in Alexandria via LeMat-Bulk.

## Properties
- Calculated total energy: -4.521 eV/atom
- Uncorrected formation energy: 0.37 eV/atom

Cell and atoms, written as extended XYZ:
```
4
Lattice="4.232 -1.524 0.000 4.232 1.524 0.000 -0.857 0.000 5.576" Properties=species:S:1:pos:R:3 pbc="T T T"
Tc 0.000 0.000 0.000
Ag 3.767 0.000 2.995
Ag 6.083 0.000 1.625
Se 1.591 0.000 4.772
```

Entry 4:
First-principles (GGA-PBE) data for a geometry-optimized TcAgSe2 structure, as listed in Alexandria via LeMat-Bulk.

## Properties
- Calculated total energy: -4.872 eV/atom
- Uncorrected formation energy: 0.17 eV/atom

Cell and atoms, written as extended XYZ:
```
4
Lattice="3.285 0.000 0.000 0.000 3.941 0.000 -1.588 0.000 6.976" Properties=species:S:1:pos:R:3 pbc="T T T"
Tc 0.000 0.000 0.000
Ag 1.643 1.971 1.450
Se 0.001 0.000 2.428
Se 1.698 1.971 5.650
```

Entry 5:
First-principles (GGA-PBE) data for a geometry-optimized TcAg2Se structure, as listed in Alexandria via LeMat-Bulk.

## Properties
- Calculated total energy: -4.330 eV/atom
- Uncorrected formation energy: 0.56 eV/atom

Cell and atoms, written as extended XYZ:
```
4
Lattice="-1.911 1.911 4.912 1.911 -1.911 4.912 1.911 1.911 -4.912" Properties=species:S:1:pos:R:3 pbc="T T T"
Tc 0.000 0.000 0.000
Ag 1.911 0.000 2.456
Ag 0.000 1.911 2.456
Se 0.000 0.000 4.912
```

Entry 6:
First-principles (GGA-PBE) data for a geometry-optimized Tc2AgSe structure, as listed in Alexandria via LeMat-Bulk.

## Properties
- Calculated total energy: -6.346 eV/atom
- Uncorrected formation energy: 0.42 eV/atom

Cell and atoms, written as extended XYZ:
```
4
Lattice="1.495 -2.359 0.000 1.495 2.359 0.000 0.000 0.000 9.643" Properties=species:S:1:pos:R:3 pbc="T T T"
Tc 0.000 0.000 0.000
Tc 1.495 0.000 2.079
Ag 1.495 0.000 7.168
Se 0.000 0.000 4.290
```